CoRu2RhN | PBE | relaxed

## Properties
DFT total energy = -40.0 eV for the cell shown
total magnetic moment = 0.424 μB/atom
V = 61 Å³/f.u.

Unit cell a=3.9916 b=3.9916 c=3.8500 alpha=90.00 beta=90.00 gamma=90.00
With the nearest neighbours (Å) after each atom.
Element x y z (fractional)
1 Ru 0.0000 0.5000 0.0000  2 N 2.00
2 Ru 0.5000 0.0000 0.0000  2 N 2.00
3 Co 0.0000 0.0000 0.5000  2 N 1.93
4 N 0.0000 0.0000 0.0000  2 Co 1.93, 4 Ru 2.00
5 Rh 0.5000 0.5000 0.5000  8 Ru 2.77, 4 Co 2.82